--- 1 ---
DFT (GGA-PBE) results for crystalline Zr2NbH6 at its relaxed geometry.

POSCAR file:
```
Zr2NbH6
1.0
5.3290 -2.2813 0.0000
5.3290 2.2813 0.0000
-1.0772 0.0000 3.2360
Zr Nb H
2 1 6
direct
0.1636 0.1636 0.1640
0.8364 0.8364 0.8360
0.5000 0.5000 0.5000
0.0947 0.5802 0.3371
0.2679 0.7321 0.0000
0.4198 0.9053 0.6629
0.5802 0.0947 0.3371
0.7321 0.2679 0.0000
0.9053 0.4198 0.6629
```

Calculated values
total magnetic moment = 0.000 μB/f.u.
space-group type = C2/m (12)

***

--- 2 ---
DFT (GGA-PBE) results for crystalline Zr2NbH6 at its relaxed geometry.

POSCAR file:
```
Zr2NbH6
1.0
5.1945 0.0000 0.0000
0.0000 4.6916 0.0000
-4.6295 0.0000 6.9497
Zr Nb H
4 2 12
direct
0.2337 0.0028 0.2420
0.2337 0.4972 0.7420
0.7663 0.5028 0.2580
0.7663 0.9972 0.7580
0.5000 0.0000 0.0000
0.5000 0.5000 0.5000
0.1672 0.2450 0.4383
0.1672 0.2550 0.9383
0.1693 0.7421 0.9374
0.1693 0.7579 0.4374
0.3346 0.0165 0.7308
0.3346 0.4835 0.2308
0.6654 0.5165 0.7692
0.6654 0.9835 0.2692
0.8307 0.2421 0.5626
0.8307 0.2579 0.0626
0.8328 0.7450 0.0617
0.8328 0.7550 0.5617
```

Calculated values
total magnetic moment = 0.000 μB/f.u.
space-group type = P2_1/c (14)

***

So which one is most stable? That would be 1, about 15.4 kJ/mol of atoms below the next structure.

***

--- 1 ---
DFT (GGA-PBE) results for crystalline ZrNbH2 at its relaxed geometry.

POSCAR file:
```
ZrNbH2
1.0
-2.5241 2.5241 3.6309
2.5241 -2.5241 3.6309
2.5241 2.5241 -3.6309
Zr Nb H
2 2 4
direct
0.0000 0.0000 0.0000
0.7500 0.2500 0.5000
0.2500 0.7500 0.5000
0.5000 0.5000 0.0000
0.1433 0.6250 0.0183
0.3750 0.3933 0.5183
0.6067 0.1250 0.9817
0.8750 0.8567 0.4817
```

Calculated values
total magnetic moment = 0.000 μB/f.u.
space-group type = I-42d (122)

***

--- 2 ---
DFT (GGA-PBE) results for crystalline ZrNbH2 at its relaxed geometry.

POSCAR file:
```
ZrNbH2
1.0
0.0000 2.8438 2.8438
2.8438 0.0000 2.8438
2.8438 2.8438 0.0000
Zr Nb H
1 1 2
direct
0.0000 0.0000 0.0000
0.5000 0.5000 0.5000
0.2500 0.2500 0.2500
0.7500 0.7500 0.7500
```

Calculated values
total magnetic moment = 0.000 μB/f.u.
space-group type = Fm-3m (225)

***

--- 3 ---
DFT (GGA-PBE) results for crystalline ZrNbH2 at its relaxed geometry.

POSCAR file:
```
ZrNbH2
1.0
1.5586 0.8999 5.2695
-1.5586 0.8999 5.2695
0.0000 -1.7997 5.2695
Zr Nb H
1 1 2
direct
0.0000 0.0000 0.0000
0.5000 0.5000 0.5000
0.2391 0.2391 0.2391
0.7609 0.7609 0.7609
```

Calculated values
total magnetic moment = 0.000 μB/f.u.
space-group type = R-3m (166)

***

--- 4 ---
DFT (GGA-PBE) results for crystalline ZrNbH2 at its relaxed geometry.

POSCAR file:
```
ZrNbH2
1.0
1.5186 0.8768 5.6334
-1.5186 0.8768 5.6334
0.0000 -1.7535 5.6334
Zr Nb H
1 1 2
direct
0.0000 0.0000 0.0000
0.8282 0.8282 0.8282
0.2339 0.2339 0.2339
0.4263 0.4263 0.4263
```

Calculated values
total magnetic moment = 0.000 μB/f.u.
space-group type = R3m (160)

***

So which one is most stable? That would be 1, about 8.6 kJ/mol of atoms below the next structure.